No. 1
Material: SmIn3
Method: DFT, PBEsol
State: relaxed

For the calculated volume, the calculation gives 24.239 Å³ per atom. The value obtained for the calculated total energy is -4.027 eV per atom.

abc: 4.594 4.594 4.594
angles: 90.00 90.00 90.00
Fractional positions:
Sm 0.000 0.000 0.000
In 0.500 0.000 0.500
In 0.000 0.500 0.500
In 0.500 0.500 0.000

No. 2
Material: Sr2LiPd2
Method: DFT, PBEsol
State: relaxed

For the calculated volume, the calculation gives 28.811 Å³ per atom. The calculation puts the energy relative to the lowest polymorph listed for this composition at 238.2 meV per atom. The value obtained for the calculated total energy is -3.667 eV per atom.

abc: 3.878 3.878 9.964
angles: 101.22 101.22 90.00
Fractional positions:
Sr 0.368 0.368 0.736
Sr 0.632 0.632 0.264
Pd 0.250 0.750 0.500
Pd 0.750 0.250 0.500
Li 0.000 0.000 0.000